{"formula": "CaCrSi2O6", "functional": "PBEsol", "state": "relaxed", "cell": [[-1.6170, -0.1188, -5.1846], [8.7460, -2.7564, -2.6645], [-5.1238, -18.2057, 2.0151]], "species": ["Si", "Si", "O", "Cr", "O", "O", "Si", "O", "O", "O", "O", "Si", "O", "O", "Cr", "O", "O", "Cr", "Si", "O", "O", "Cr", "Si", "O", "O", "O", "O", "O", "Ca", "Cr", "O", "O", "O", "O", "Si", "Cr", "O", "Ca", "O", "O", "Cr", "O", "Si", "O", "O", "O", "O", "Si", "Ca", "O", "Si", "O", "O", "Cr", "Si", "Si", "O", "Ca", "O", "O", "Ca", "Ca", "O", "Ca", "Si", "Si", "O", "Si", "O", "O", "O", "O", "O", "O", "O", "Ca", "Si", "O", "O", "O"], "frac_coords": [[0.2639, 0.1625, 0.9821], [0.2361, 0.1625, 0.4821], [0.3662, 0.2808, 0.3100], [0.6219, 0.0263, 0.8738], [0.0208, 0.7818, 0.0340], [0.7661, 0.3631, 0.0675], [0.7639, 0.3375, 0.9821], [0.5208, 0.2182, 0.4660], [0.9247, 0.5201, 0.6846], [0.5208, 0.7182, 0.0340], [0.0753, 0.9799, 0.1846], [0.0834, 0.3286, 0.2780], [0.5753, 0.5201, 0.1846], [0.8662, 0.2192, 0.3100], [0.3781, 0.9737, 0.1262], [0.0601, 0.3271, 0.1941], [0.1813, 0.5312, 0.0684], [0.1219, 0.4737, 0.8738], [0.0834, 0.8286, 0.2220], [0.0753, 0.4799, 0.3154], [0.6813, 0.9688, 0.0684], [0.6219, 0.5263, 0.6262], [0.7639, 0.8375, 0.5179], [0.4792, 0.7818, 0.5340], [0.6813, 0.4688, 0.4316], [0.2339, 0.1369, 0.5675], [0.8187, 0.9688, 0.5684], [0.7661, 0.8631, 0.4325], [0.6130, 0.1461, 0.6236], [0.8781, 0.5263, 0.1262], [0.3662, 0.7808, 0.1900], [0.6338, 0.7192, 0.6900], [0.5753, 0.0201, 0.3154], [0.3187, 0.0312, 0.9316], [0.2639, 0.6625, 0.5179], [0.8781, 0.0263, 0.3738], [0.1813, 0.0312, 0.4316], [0.8870, 0.1461, 0.1236], [0.5601, 0.6729, 0.3059], [0.5601, 0.1729, 0.1941], [0.3781, 0.4737, 0.3738], [0.9792, 0.2182, 0.9660], [0.9166, 0.1714, 0.7780], [0.9399, 0.6729, 0.8059], [0.7339, 0.3631, 0.5675], [0.8662, 0.7192, 0.1900], [0.1338, 0.7808, 0.6900], [0.2361, 0.6625, 0.0179], [0.8870, 0.6461, 0.3764], [0.4399, 0.8271, 0.8059], [0.7361, 0.8375, 0.0179], [0.9247, 0.0201, 0.8154], [0.6338, 0.2192, 0.8100], [0.1219, 0.9737, 0.6262], [0.4166, 0.3286, 0.7780], [0.4166, 0.8286, 0.7220], [0.3187, 0.5312, 0.5684], [0.3870, 0.3539, 0.1236], [0.4247, 0.4799, 0.8154], [0.4399, 0.3271, 0.6941], [0.3870, 0.8539, 0.3764], [0.1130, 0.3539, 0.6236], [0.2661, 0.1369, 0.0675], [0.6130, 0.6461, 0.8764], [0.7361, 0.3375, 0.4821], [0.5834, 0.1714, 0.2780], [0.7339, 0.8631, 0.9325], [0.9166, 0.6714, 0.7220], [0.0208, 0.2818, 0.4660], [0.0601, 0.8271, 0.3059], [0.8187, 0.4688, 0.9316], [0.9792, 0.7182, 0.5340], [0.2661, 0.6369, 0.4325], [0.9399, 0.1729, 0.6941], [0.1338, 0.2808, 0.8100], [0.1130, 0.8539, 0.8764], [0.5834, 0.6714, 0.2220], [0.4247, 0.9799, 0.6846], [0.2339, 0.6369, 0.9325], [0.4792, 0.2818, 0.9660]], "formation_energy_uncorrected_ev_per_fu": -25.559, "relative_energy_ev_per_fu": 0.13}